{
  "formula": "AcHfPb2O6",
  "functional": "PBE",
  "state": "relaxed",
  "spacegroup": "P2_1/c, No. 14",
  "dft_energy_ev_per_fu": -73.936,
  "density_g_cm3": 9.4,
  "dos_at_fermi_per_ev_fu": 5.40,
  "lattice": [[5.9159, 0.0000, 0.0000], [0.0000, 6.2967, 0.0000], [-5.8702, 0.0000, 8.7221]],
  "species": ["Ac", "Ac", "Hf", "Hf", "Pb", "Pb", "Pb", "Pb", "O", "O", "O", "O", "O", "O", "O", "O", "O", "O", "O", "O"],
  "fractional_positions": [[0.0000, 0.0000, 0.0000], [0.0000, 0.5000, 0.5000], [0.5000, 0.0000, 0.5000], [0.5000, 0.5000, 0.0000], [0.2336, 0.0319, 0.7417], [0.2336, 0.4681, 0.2417], [0.7664, 0.5319, 0.7583], [0.7664, 0.9681, 0.2583], [0.1460, 0.1622, 0.4459], [0.1460, 0.3378, 0.9459], [0.2748, 0.7137, 0.4258], [0.2748, 0.7863, 0.9258], [0.4055, 0.0639, 0.2757], [0.4055, 0.4361, 0.7757], [0.5945, 0.5639, 0.2243], [0.5945, 0.9361, 0.7243], [0.7252, 0.2137, 0.0742], [0.7252, 0.2863, 0.5742], [0.8540, 0.6622, 0.0541], [0.8540, 0.8378, 0.5541]]
}